Record 1
## Tl2SiTc (GGA-PBEsol)

Data for a relaxed structure of Tl2SiTc.

The structure belongs to space group R-3m (No. 166, hexagonal axes); the cell edges are 3.2413, 3.2413 and 25.7889 Å and the angles 90.00°, 90.00° and 120.00°. The inequivalent atoms are Tl at (0.0000, 0.0000, 0.2478), Si at (0.0000, 0.0000, 0.0000) and Tc at (0.0000, 0.0000, 0.5000).

The polymorph energy (0 for the lowest one) comes out at 649 meV per atom. Its crystal system is trigonal.


Record 2
## YSi2Tc (GGA-PBEsol)

Data for a relaxed structure of YSi2Tc.

The structure belongs to space group P4mm (No. 99); the cell edges are 3.198, 3.198 and 6.513 Å and the angles 90.00°, 90.00° and 90.00°. The inequivalent atoms are Y at (0.000, 0.000, 0.000), Si at (0.000, 0.000, 0.525), Si at (0.500, 0.500, 0.307) and Tc at (0.500, 0.500, 0.679).

The polymorph energy (0 for the lowest one) comes out at 226 meV per atom. Its crystal system is tetragonal.


Record 3
## YSi2Tc (GGA-PBEsol)

Data for a relaxed structure of YSi2Tc.

The structure belongs to space group Cmmm (No. 65); the cell edges are 5.548, 7.179 and 3.287 Å and the angles 90.00°, 90.00° and 90.00°. The inequivalent atoms are Y at (0.000, 0.000, 0.000), Si at (0.250, 0.250, 0.500) and Tc at (0.000, 0.500, 0.000).

The polymorph energy (0 for the lowest one) comes out at 525 meV per atom. Its crystal system is orthorhombic.


Record 4
## YSi2Tc2 (GGA-PBEsol)

Data for a relaxed structure of YSi2Tc2.

The structure belongs to space group I4/mmm (No. 139); the cell edges are 4.032, 4.032 and 10.227 Å and the angles 90.00°, 90.00° and 90.00°. The inequivalent atoms are Y at (0.000, 0.000, 0.000), Si at (0.000, 0.000, 0.380) and Tc at (0.000, 0.500, 0.250).

Its crystal system is tetragonal.


Record 5
## Y2Si2Tc (GGA-PBEsol)

Data for a relaxed structure of Y2Si2Tc.

The structure belongs to space group P4/mbm (No. 127); the cell edges are 6.724, 6.724 and 4.161 Å and the angles 90.00°, 90.00° and 90.00°. The inequivalent atoms are Y at (0.178, 0.322, 0.000), Si at (0.128, 0.628, 0.500) and Tc at (0.000, 0.000, 0.500).

Its crystal system is tetragonal.


Record 6
## YSi2Tc (GGA-PBEsol)

Data for a relaxed structure of YSi2Tc.

The structure belongs to space group R-3m (No. 166, hexagonal axes); the cell edges are 4.0795, 4.0795 and 14.4918 Å and the angles 90.00°, 90.00° and 120.00°. The inequivalent atoms are Y at (0.0000, 0.0000, 0.0000), Si at (0.0000, 0.0000, 0.2125) and Tc at (0.0000, 0.0000, 0.5000).

The polymorph energy (0 for the lowest one) comes out at 0 meV per atom. Its crystal system is trigonal.


Record 7
## Y2SiTc (GGA-PBEsol)

Data for a relaxed structure of Y2SiTc.

The structure belongs to space group Cmmm (No. 65); the cell edges are 6.575, 6.585 and 3.663 Å and the angles 90.00°, 90.00° and 90.00°. The inequivalent atoms are Y at (0.250, 0.250, 0.000), Si at (0.000, 0.000, 0.500) and Tc at (0.000, 0.500, 0.500).

Its crystal system is orthorhombic.


Record 8
## Zn2SiTc (GGA-PBEsol)

Data for a relaxed structure of Zn2SiTc.

The structure belongs to space group Immm (No. 71); the cell edges are 3.175, 3.838 and 8.672 Å and the angles 90.00°, 90.00° and 90.00°. The inequivalent atoms are Zn at (0.000, 0.000, 0.247), Si at (0.000, 0.500, 0.500) and Tc at (0.000, 0.500, 0.000).

The polymorph energy (0 for the lowest one) comes out at 0 meV per atom. Its crystal system is orthorhombic.


Record 9
## ZnSiTc2 (GGA-PBEsol)

Data for a relaxed structure of ZnSiTc2.

The structure belongs to space group C2/m (No. 12); the cell edges are 8.257, 2.793 and 4.821 Å and the angles 90.00°, 102.41° and 90.00°. The inequivalent atoms are Zn at (0.000, 0.000, 0.000), Si at (0.000, 0.500, 0.500) and Tc at (0.240, 0.000, 0.742).

The polymorph energy (0 for the lowest one) comes out at 72 meV per atom. Its crystal system is monoclinic.


Record 10
## ZnSiTc2 (GGA-PBEsol)

Data for a relaxed structure of ZnSiTc2.

The structure belongs to space group Pmmm (No. 47); the cell edges are 2.936, 4.070 and 4.549 Å and the angles 90.00°, 90.00° and 90.00°. The inequivalent atoms are Zn at (0.000, 0.000, 0.000), Si at (0.500, 0.000, 0.500), Tc at (0.000, 0.500, 0.500) and Tc at (0.500, 0.500, 0.000).

The polymorph energy (0 for the lowest one) comes out at 181 meV per atom. Its crystal system is orthorhombic.


Record 11
## Zn2SiTc (GGA-PBEsol)

Data for a relaxed structure of Zn2SiTc.

The structure belongs to space group I-4m2 (No. 119); the cell edges are 3.680, 3.680 and 7.812 Å and the angles 90.00°, 90.00° and 90.00°. The inequivalent atoms are Zn at (0.000, 0.000, 0.000), Zn at (0.000, 0.500, 0.250), Si at (0.000, 0.000, 0.500) and Tc at (0.000, 0.500, 0.750).

The polymorph energy (0 for the lowest one) comes out at 30 meV per atom. Its crystal system is tetragonal.


Record 12
## ZnSiTc2 (GGA-PBEsol)

Data for a relaxed structure of ZnSiTc2.

The structure belongs to space group Imm2 (No. 44); the cell edges are 3.000, 4.118 and 8.592 Å and the angles 90.00°, 90.00° and 90.00°. The inequivalent atoms are Zn at (0.000, 0.000, 0.000), Si at (0.000, 0.500, 0.750), Tc at (0.000, 0.000, 0.480) and Tc at (0.000, 0.500, 0.235).

The polymorph energy (0 for the lowest one) comes out at 10 meV per atom. Its crystal system is orthorhombic.


Number 1: total energy -57.2 eV per cell, formation energy without anion corrections 3.22 eV/f.u.. Number 2: total energy -31.3 eV per cell, formation energy without anion corrections -1.71 eV/f.u.. Number 3: total energy -60.2 eV per cell, formation energy without anion corrections -0.51 eV/f.u.. Number 4: total energy -88.1 eV per cell, formation energy without anion corrections -3.22 eV/f.u.. Number 5: total energy -79.9 eV per cell, formation energy without anion corrections -3.56 eV/f.u.. Number 6: total energy -96.6 eV per cell, formation energy without anion corrections -2.61 eV/f.u.. Number 7: total energy -63.5 eV per cell, formation energy without anion corrections -1.09 eV/f.u.. Number 8: total energy -41.6 eV per cell, formation energy without anion corrections -0.61 eV/f.u.. Number 9: total energy -60.0 eV per cell, formation energy without anion corrections -0.15 eV/f.u.. Number 10: total energy -29.6 eV per cell, formation energy without anion corrections 0.28 eV/f.u.. Number 11: total energy -41.3 eV per cell, formation energy without anion corrections -0.49 eV/f.u.. Number 12: total energy -60.5 eV per cell, formation energy without anion corrections -0.40 eV/f.u..